CsSiW2: optimized geometry, PBE-GGA.

```
data_CsSiW2
_symmetry_space_group_name_H-M 'I 41/a m d'
_symmetry_Int_Tables_number 141
_cell_length_a 5.0025
_cell_length_b 5.0025
_cell_length_c 18.0938
_cell_angle_alpha 90.00
_cell_angle_beta 90.00
_cell_angle_gamma 90.00
loop_
_symmetry_equiv_pos_as_xyz
'x,y,z'
'-x,-y,-z'
'-y+1/4,x+3/4,z+1/4'
'y+1/4,-x+3/4,-z+1/4'
'-x+1/2,-y,z+1/2'
'x+1/2,y,-z+1/2'
'y+1/4,-x+1/4,z+3/4'
'-y+1/4,x+1/4,-z+3/4'
'x,-y,-z'
'-x,y,z'
'-y+1/4,-x+1/4,-z+3/4'
'y+1/4,x+1/4,z+3/4'
'-x+1/2,y,-z+1/2'
'x+1/2,-y,z+1/2'
'y+1/4,x+3/4,-z+1/4'
'-y+1/4,-x+3/4,z+1/4'
'x+1/2,y+1/2,z+1/2'
'-x+1/2,-y+1/2,-z+1/2'
'-y+3/4,x+1/4,z+3/4'
'y+3/4,-x+1/4,-z+3/4'
'-x,-y+1/2,z'
'x,y+1/2,-z'
'y+3/4,-x+3/4,z+1/4'
'-y+3/4,x+3/4,-z+1/4'
'x+1/2,-y+1/2,-z+1/2'
'-x+1/2,y+1/2,z+1/2'
'-y+3/4,-x+3/4,-z+1/4'
'y+3/4,x+3/4,z+1/4'
'-x,y+1/2,-z'
'x,-y+1/2,z'
'y+3/4,x+1/4,-z+3/4'
'-y+3/4,-x+1/4,z+3/4'
loop_
_atom_site_label
_atom_site_fract_x
_atom_site_fract_y
_atom_site_fract_z
Cs1 0.0000 0.2500 0.3750
Si1 0.0000 0.2500 0.8750
W1 0.0000 0.0000 0.0000
```

Properties
Total moment = 0.000 μB/f.u.
E_tot = -6.427 eV per atom
Raw formation energy = 1618 meV/atom